Below is a relaxed structure of Bi6IrO12, with properties calculated at the PBE-GGA level.

The calculation puts the uncorrected formation energy at -1113 meV/atom. The total DFT energy (no corrections) comes out at -5.936 eV per atom. As for the calculated volume: 15.27 A^3/atom. The symmetry is R-3.

Unit cell a=6.7332 b=6.7332 c=6.7332 alpha=99.79 beta=99.79 gamma=99.79
Closest atoms and distances in Å follow each position.
Positions (direct):
Bi 0.1438 0.2973 0.5951  5 O 2.25-2.51
Bi 0.7027 0.4049 0.8562  5 O 2.25-2.51
Bi 0.4049 0.8562 0.7027  5 O 2.25-2.51
Bi 0.8562 0.7027 0.4049  5 O 2.25-2.51
Bi 0.2973 0.5951 0.1438  5 O 2.25-2.51
Bi 0.5951 0.1438 0.2973  5 O 2.25-2.51
Ir 0.0000 0.0000 0.0000  6 O 1.98
O 0.4346 0.1822 0.5674  4 Bi 2.25-2.51
O 0.1822 0.5674 0.4346  4 Bi 2.25-2.51
O 0.5674 0.4346 0.1822  4 Bi 2.25-2.51
O 0.5654 0.8178 0.4326  4 Bi 2.25-2.51
O 0.8178 0.4326 0.5654  4 Bi 2.25-2.51
O 0.4326 0.5654 0.8178  4 Bi 2.25-2.51
O 0.0257 0.9316 0.7086  1 Ir 1.98
O 0.2914 0.9743 0.0684  1 Ir 1.98
O 0.0684 0.2914 0.9743  1 Ir 1.98
O 0.9743 0.0684 0.2914  1 Ir 1.98
O 0.7086 0.0257 0.9316  1 Ir 1.98
O 0.9316 0.7086 0.0257  1 Ir 1.98

---

Below is a relaxed structure of Bi2Ir2O, with properties calculated at the PBE-GGA level.

The calculation puts the uncorrected formation energy at 495 meV/atom. The total DFT energy (no corrections) comes out at -5.593 eV per atom. As for the calculated volume: 20.31 A^3/atom. The value obtained for the energy above the most stable polymorph in this dataset is 0.275 eV per atom. The symmetry is P4/mbm.

Unit cell a=6.7767 b=6.7767 c=4.4223 alpha=90.00 beta=90.00 gamma=90.00
Closest atoms and distances in Å follow each position.
Positions (direct):
Ir 0.1260 0.6260 0.5000  1 Ir 2.42
Ir 0.6260 0.8740 0.5000  1 Ir 2.42
Ir 0.8740 0.3740 0.5000  1 Ir 2.42
Ir 0.3740 0.1260 0.5000  1 Ir 2.42
Bi 0.3048 0.8048 0.0000  2 O 2.45
Bi 0.8048 0.6952 0.0000  2 O 2.45
Bi 0.6952 0.1952 0.0000  2 O 2.45
Bi 0.1952 0.3048 0.0000  2 O 2.45
O 0.0000 0.0000 0.0000  4 Bi 2.45
O 0.5000 0.5000 0.0000  4 Bi 2.45

---

Below is a relaxed structure of Bi3Ir3O11, with properties calculated at the PBE-GGA level.

The calculation puts the uncorrected formation energy at -985 meV/atom. The total DFT energy (no corrections) comes out at -6.442 eV per atom. As for the calculated volume: 12.58 A^3/atom. The symmetry is Pn-3.

Unit cell a=9.4922 b=9.4922 c=9.4922 alpha=90.00 beta=90.00 gamma=90.00
Closest atoms and distances in Å follow each position.
Positions (direct):
Bi 0.7500 0.7500 0.2500  8 O 2.42-2.47
Bi 0.7500 0.2500 0.7500  8 O 2.42-2.47
Bi 0.8673 0.8673 0.8673  3 O 2.27
Bi 0.8673 0.1327 0.1327  3 O 2.27
Bi 0.1327 0.8673 0.1327  3 O 2.27
Bi 0.1327 0.1327 0.8673  3 O 2.27
Bi 0.2500 0.2500 0.2500  8 O 2.42-2.47
Bi 0.2500 0.7500 0.7500  8 O 2.42-2.47
Bi 0.3673 0.3673 0.6327  3 O 2.27
Bi 0.3673 0.6327 0.3673  3 O 2.27
Bi 0.6327 0.3673 0.3673  3 O 2.27
Bi 0.6327 0.6327 0.6327  3 O 2.27
Ir 0.8406 0.5000 0.0000  6 O 2.00-2.02
Ir 0.0000 0.8406 0.5000  6 O 2.00-2.02
Ir 0.0000 0.5000 0.3406  6 O 2.00-2.02
Ir 0.0000 0.5000 0.6594  6 O 2.00-2.02
Ir 0.0000 0.1594 0.5000  6 O 2.00-2.02
Ir 0.1594 0.5000 0.0000  6 O 2.00-2.02
Ir 0.3406 0.0000 0.5000  6 O 2.00-2.02
Ir 0.5000 0.0000 0.8406  6 O 2.00-2.02
Ir 0.5000 0.0000 0.1594  6 O 2.00-2.02
Ir 0.5000 0.3406 0.0000  6 O 2.00-2.02
Ir 0.5000 0.6594 0.0000  6 O 2.00-2.02
Ir 0.6594 0.0000 0.5000  6 O 2.00-2.02
O 0.7894 0.8318 0.4939  2 Ir 2.00-2.02
O 0.7894 0.1682 0.5061  2 Ir 2.00-2.02
O 0.8318 0.4939 0.7894  2 Ir 2.00-2.02
O 0.8318 0.5061 0.2106  2 Ir 2.00-2.02
O 0.8616 0.5000 0.5000  2 Ir 2.00
O 0.8971 0.8971 0.1029  4 Bi 2.27-2.42
O 0.8971 0.1029 0.8971  4 Bi 2.27-2.42
O 0.0061 0.7106 0.6682  2 Ir 2.00-2.02
O 0.0061 0.2894 0.3318  2 Ir 2.00-2.02
O 0.0000 0.3616 0.0000  2 Ir 2.00
O 0.0000 0.6384 0.0000  2 Ir 2.00
O 0.0000 0.0000 0.3616  2 Ir 2.00
O 0.0000 0.0000 0.6384  2 Ir 2.00
O 0.9939 0.2894 0.6682  2 Ir 2.00-2.02
O 0.9939 0.7106 0.3318  2 Ir 2.00-2.02
O 0.1029 0.8971 0.8971  4 Bi 2.27-2.42
O 0.1029 0.1029 0.1029  4 Bi 2.27-2.42
O 0.1384 0.5000 0.5000  2 Ir 2.00
O 0.1682 0.5061 0.7894  2 Ir 2.00-2.02
O 0.1682 0.4939 0.2106  2 Ir 2.00-2.02
O 0.2106 0.8318 0.5061  2 Ir 2.00-2.02
O 0.2106 0.1682 0.4939  2 Ir 2.00-2.02
O 0.2894 0.3318 0.0061  2 Ir 2.00-2.02
O 0.2894 0.6682 0.9939  2 Ir 2.00-2.02
O 0.3318 0.0061 0.2894  2 Ir 2.00-2.02
O 0.3318 0.9939 0.7106  2 Ir 2.00-2.02
O 0.3616 0.0000 0.0000  2 Ir 2.00
O 0.3971 0.3971 0.3971  4 Bi 2.27-2.42
O 0.3971 0.6029 0.6029  4 Bi 2.27-2.42
O 0.5061 0.7894 0.1682  2 Ir 2.00-2.02
O 0.5061 0.2106 0.8318  2 Ir 2.00-2.02
O 0.5000 0.8616 0.5000  2 Ir 2.00
O 0.5000 0.1384 0.5000  2 Ir 2.00
O 0.5000 0.5000 0.8616  2 Ir 2.00
O 0.5000 0.5000 0.1384  2 Ir 2.00
O 0.4939 0.7894 0.8318  2 Ir 2.00-2.02
O 0.4939 0.2106 0.1682  2 Ir 2.00-2.02
O 0.6029 0.3971 0.6029  4 Bi 2.27-2.42
O 0.6029 0.6029 0.3971  4 Bi 2.27-2.42
O 0.6384 0.0000 0.0000  2 Ir 2.00
O 0.6682 0.0061 0.7106  2 Ir 2.00-2.02
O 0.6682 0.9939 0.2894  2 Ir 2.00-2.02
O 0.7106 0.6682 0.0061  2 Ir 2.00-2.02
O 0.7106 0.3318 0.9939  2 Ir 2.00-2.02

---

Below is a relaxed structure of Bi12IrO20, with properties calculated at the PBE-GGA level.

The calculation puts the uncorrected formation energy at -1092 meV/atom. The total DFT energy (no corrections) comes out at -5.777 eV per atom. As for the calculated volume: 16.88 A^3/atom. The symmetry is I23.

Unit cell a=8.9778 b=8.9778 c=8.9778 alpha=109.47 beta=109.47 gamma=109.47
Closest atoms and distances in Å follow each position.
Positions (direct):
Bi 0.4974 0.3373 0.1940  3 O 2.12-2.26
Bi 0.5026 0.6966 0.8399  3 O 2.12-2.26
Bi 0.8567 0.6627 0.1601  3 O 2.12-2.26
Bi 0.3373 0.1940 0.4974  3 O 2.12-2.26
Bi 0.1433 0.3034 0.8060  3 O 2.12-2.26
Bi 0.6966 0.8399 0.5026  3 O 2.12-2.26
Bi 0.6627 0.1601 0.8567  3 O 2.12-2.26
Bi 0.3034 0.8060 0.1433  3 O 2.12-2.26
Bi 0.1940 0.4974 0.3373  3 O 2.12-2.26
Bi 0.1601 0.8567 0.6627  3 O 2.12-2.26
Bi 0.8060 0.1433 0.3034  3 O 2.12-2.26
Bi 0.8399 0.5026 0.6966  3 O 2.12-2.26
Ir 0.0000 0.0000 0.0000  4 O 1.96
O 0.3871 0.3871 0.3871  3 Bi 2.26
O 0.6129 0.0000 0.0000  3 Bi 2.26
O 0.0000 0.6129 0.0000  3 Bi 2.26
O 0.0000 0.0000 0.6129  3 Bi 2.26
O 0.7369 0.6232 0.3754  2 Bi 2.12-2.25
O 0.2631 0.6385 0.8863  2 Bi 2.12-2.25
O 0.7522 0.3768 0.1137  2 Bi 2.12-2.25
O 0.6232 0.3754 0.7369  2 Bi 2.12-2.25
O 0.2478 0.3615 0.6246  2 Bi 2.12-2.25
O 0.6385 0.8863 0.2631  2 Bi 2.12-2.25
O 0.3768 0.1137 0.7522  2 Bi 2.12-2.25
O 0.3615 0.6246 0.2478  2 Bi 2.12-2.25
O 0.3754 0.7369 0.6232  2 Bi 2.12-2.25
O 0.1137 0.7522 0.3768  2 Bi 2.12-2.25
O 0.6246 0.2478 0.3615  2 Bi 2.12-2.25
O 0.8863 0.2631 0.6385  2 Bi 2.12-2.25
O 0.7821 0.7821 0.7821  1 Ir 1.96
O 0.2179 0.0000 0.0000  1 Ir 1.96
O 0.0000 0.2179 0.0000  1 Ir 1.96
O 0.0000 0.0000 0.2179  1 Ir 1.96

---

Below is a relaxed structure of Bi3IrO, with properties calculated at the PBE-GGA level.

The calculation puts the uncorrected formation energy at 866 meV/atom. The total DFT energy (no corrections) comes out at -4.227 eV per atom. As for the calculated volume: 30.12 A^3/atom. The value obtained for the energy above the most stable polymorph in this dataset is 0.672 eV per atom. The symmetry is Pm-3m.

Unit cell a=5.3203 b=5.3203 c=5.3203 alpha=90.00 beta=90.00 gamma=90.00
Closest atoms and distances in Å follow each position.
Positions (direct):
Ir 0.0000 0.0000 0.0000  6 Bi 2.66
Bi 0.0000 0.5000 0.0000  2 Ir 2.66
Bi 0.0000 0.0000 0.5000  2 Ir 2.66
Bi 0.5000 0.0000 0.0000  2 Ir 2.66
O 0.5000 0.5000 0.5000  12 Bi 3.76

---

Below is a relaxed structure of Bi2IrO8, with properties calculated at the PBE-GGA level.

The calculation puts the uncorrected formation energy at -629 meV/atom. The total DFT energy (no corrections) comes out at -5.746 eV per atom. As for the calculated volume: 13.12 A^3/atom. The symmetry is C2/m.

Unit cell a=4.5415 b=5.9906 c=5.9906 alpha=73.51 beta=72.11 gamma=72.11
Closest atoms and distances in Å follow each position.
Positions (direct):
Bi 0.6249 0.6612 0.6612  7 O 2.21-2.37
Bi 0.3751 0.3388 0.3388  7 O 2.21-2.37
Ir 0.0000 0.0000 0.0000  6 O 1.79-1.94
O 0.7231 0.9599 0.3205  1 Ir 1.94
O 0.2769 0.6795 0.0401  1 Ir 1.94
O 0.7569 0.8911 0.8911  1 Ir 1.79
O 0.2431 0.1089 0.1089  1 Ir 1.79
O 0.7231 0.3205 0.9599  1 Ir 1.94
O 0.2769 0.0401 0.6795  1 Ir 1.94
O 0.1816 0.5880 0.5880  3 Bi 2.21-2.37
O 0.8184 0.4120 0.4120  3 Bi 2.21-2.37

---

Which of these has the highest total DFT energy (no corrections)?
Bi3IrO

---

Which formula does entry 4 have?
Bi12IrO20

---

Which value of calculated volume does entry 6 give?
13.12 A^3/atom

---

The highest calculated volume belongs to which entry?
Bi3IrO